## Sr3FeTc (GGA-PBE)

Data for a relaxed structure of Sr3FeTc.

```
Sr3FeTc
1.0
-4.3497 2.6285 2.5726
-2.6541 0.5150 -5.0138
-2.5462 -5.0272 0.8315
Sr Tc Fe
3 1 1
direct
0.0000 0.5000 0.0000
0.0000 0.0000 0.5000
0.5000 0.0000 0.0000
0.0000 0.0000 0.0000
0.5000 0.5000 0.5000
```

Computed properties:
Offset from the most stable computed form   0 meV/atom
Magnetization   2.1 μB per cell
Space group   Pm-3m
Crystal system   cubic
Formation enthalpy at 0 K   1.115 eV/atom